Compound: LiTl2GaBr4
Source: Alexandria via LeMat-Bulk
Functional: PBE
Structure: relaxed

a = 8.984 Å, b = 8.984 Å, c = 9.097 Å
α = 120.38°, β = 120.38°, γ = 89.73°
Fractional coordinates of all 16 atoms:
Br  0.755  0.743  0.530
Br  0.245  0.257  0.470
Br  0.739  0.286  0.513
Br  0.261  0.714  0.487
Br  0.757  0.745  0.970
Br  0.786  0.239  0.013
Br  0.214  0.761  0.987
Br  0.243  0.255  0.030
Tl  0.500  0.000  0.500
Tl  0.000  0.000  0.500
Tl  0.500  0.000  0.000
Tl  0.500  0.500  0.000
Ga  0.000  0.500  0.000
Ga  0.000  0.500  0.500
Li  0.500  0.500  0.500
Li  0.000  0.000  0.000

Computed properties:
As for the space-group type: No. 15. The calculation puts the raw formation energy at -20.87 kcal/mol of atoms.

***

Compound: BaCaI2
Source: Alexandria via LeMat-Bulk
Functional: PBE
Structure: relaxed

a = 4.430 Å, b = 4.430 Å, c = 9.540 Å
α = 76.57°, β = 76.57°, γ = 60.00°
Fractional coordinates of all 4 atoms:
I  0.265  0.265  0.206
I  0.070  0.070  0.791
Ba  0.496  0.496  0.513
Ca  0.670  0.670  0.989

Computed properties:
As for the space-group type: No. 160. The calculation puts the raw formation energy at -25.61 kcal/mol of atoms. Its polymorph energy (0 for the lowest one) is 0 meV/atom.

***

Compound: ZrUTaOs
Source: Alexandria via LeMat-Bulk
Functional: PBE
Structure: relaxed

a = 4.718 Å, b = 4.718 Å, c = 4.718 Å
α = 60.00°, β = 60.00°, γ = 60.00°
Fractional coordinates of all 4 atoms:
Ta  0.000  0.000  0.000
Os  0.250  0.250  0.250
Zr  0.500  0.500  0.500
U  0.750  0.750  0.750

Computed properties:
As for the space-group type: No. 216. Its formation enthalpy at 0 K is 0.5 eV/f.u.

***

In g/cm³, the density values for the records above are, in order, 5.197; 4.583; 15.660.
In eV/atom, the E_tot values for the records above are, in order, -2.95; -2.87; -10.61.
In states/eV/atom, the Fermi-level density of states values for the records above are, in order, 0.000; 0.633; 1.435.